(1)
A relaxed AlZn2Au4 crystal. Source: the Alexandria database, functional GGA-PBE.

Geometry as POSCAR:
```
AlZn2Au4
1.0
-0.8888 4.7369 -2.5262
2.8072 -3.4044 -3.1842
-4.6949 -2.4872 1.1754
Au Zn Al
4 2 1
direct
0.0000 0.5000 0.0000
0.5000 0.0000 0.0000
0.5000 0.5000 0.5000
0.0000 0.0000 0.5000
0.5000 0.0000 0.5000
0.5000 0.5000 0.0000
0.0000 0.0000 0.0000
```

Results
Mass density = 12.7 Mg/m³
Calculated formation energy = -221.8 meV per atom
Symmetry = I4/mmm
E above lowest polymorph = 0 meV per atom
Magnetization = 0.000 μB per cell

---

(2)
A relaxed Sc2Ag2W crystal. Source: the Alexandria database, functional GGA-PBE.

Geometry as POSCAR:
```
Sc2Ag2W
1.0
3.6387 0.0000 0.0000
0.0000 3.6387 0.0000
1.8193 1.8193 7.8815
Sc Ag W
2 2 1
direct
0.4065 0.4065 0.1870
0.5935 0.5935 0.8130
0.7500 0.2500 0.5000
0.2500 0.7500 0.5000
0.0000 0.0000 0.0000
```

Results
Mass density = 7.8 Mg/m³
Calculated formation energy = 393.4 meV per atom
Symmetry = I4/mmm
E above lowest polymorph = 36 meV per atom
Magnetization = 0.001 μB per cell

---

(3)
A relaxed Zr3Co8Au crystal. Source: the Alexandria database, functional GGA-PBE.

Geometry as POSCAR:
```
Zr3Co8Au
1.0
4.8650 0.0000 0.0000
-2.4325 4.2132 0.0000
0.0000 0.0000 8.0315
Co Zr Au
8 3 1
direct
0.5008 0.4992 0.7528
0.1639 0.8361 0.2489
0.9985 0.4992 0.7528
0.3333 0.6667 0.0069
0.1639 0.3278 0.2489
0.6722 0.8361 0.2489
0.3333 0.6667 0.5002
0.5008 0.0015 0.7528
0.0000 0.0000 0.9125
0.6667 0.3333 0.4516
0.6667 0.3333 0.0696
0.0000 0.0000 0.5542
```

Results
Mass density = 9.5 Mg/m³
Calculated formation energy = -281.6 meV per atom
Symmetry = P3m1
Magnetization = 7.094 μB per cell

---

(4)
A relaxed LaDy2 crystal. Source: the Alexandria database, functional GGA-PBE.

Geometry as POSCAR:
```
LaDy2
1.0
3.6288 0.0000 0.0000
0.0000 3.6288 0.0000
0.0000 0.0000 15.1960
La Dy
2 4
direct
0.0000 0.0000 0.8315
0.0000 0.0000 0.1685
0.0000 0.0000 0.5000
0.5000 0.5000 0.6610
0.5000 0.5000 0.3390
0.5000 0.5000 0.0000
```

Results
Mass density = 7.7 Mg/m³
Calculated formation energy = 30.5 meV per atom
Symmetry = P4/mmm
E above lowest polymorph = 34 meV per atom
Magnetization = 0.000 μB per cell

---

(5)
A relaxed GaAgPd14 crystal. Source: the Alexandria database, functional GGA-PBE.

Geometry as POSCAR:
```
GaAgPd14
1.0
5.5630 -0.3217 0.0000
-2.4763 4.9918 0.0000
0.0000 0.0000 9.1597
Ga Pd Ag
1 14 1
direct
0.5436 0.4564 0.5000
0.8716 0.6224 0.2525
0.5430 0.9594 0.5000
0.8744 0.1256 0.7525
0.8716 0.6224 0.7475
0.0406 0.4570 0.5000
0.3776 0.1284 0.2525
0.3765 0.6235 0.7457
0.2088 0.2927 0.0000
0.8744 0.1256 0.2475
0.7073 0.7912 0.0000
0.3776 0.1284 0.7475
0.7076 0.2924 0.0000
0.2082 0.7918 0.0000
0.3765 0.6235 0.2543
0.0409 0.9591 0.5000
```

Results
Mass density = 11.2 Mg/m³
Calculated formation energy = -96.4 meV per atom
Symmetry = Amm2
Magnetization = 0.000 μB per cell

---

(6)
A relaxed KIn4Pb2 crystal. Source: the Alexandria database, functional GGA-PBE.

Geometry as POSCAR:
```
KIn4Pb2
1.0
5.2581 0.0000 -1.1988
-0.1846 3.4654 -0.8096
-0.1292 0.8624 11.5637
K In Pb
1 4 2
direct
0.5000 0.0000 0.0000
0.0781 0.5781 0.1562
0.3518 0.3518 0.7035
0.9219 0.4219 0.8438
0.6482 0.6482 0.2965
0.2065 0.2065 0.4131
0.7935 0.7935 0.5869
```

Results
Mass density = 7.1 Mg/m³
Calculated formation energy = -23.0 meV per atom
Symmetry = Immm
E above lowest polymorph = 0 meV per atom
Magnetization = 0.000 μB per cell

---

(7)
A relaxed PrCo2Ni5 crystal. Source: the Alexandria database, functional GGA-PBE.

Geometry as POSCAR:
```
PrCo2Ni5
1.0
-3.5323 -1.1013 -0.1769
-1.4924 -2.2837 5.2357
-3.2884 3.8251 3.0677
Pr Co Ni
1 2 5
direct
0.0000 0.0000 0.0000
0.2522 0.2478 0.2478
0.7478 0.7522 0.7522
0.3518 0.4669 0.8295
0.6482 0.5331 0.1705
0.6482 0.1705 0.5331
0.3518 0.8295 0.4669
0.0000 0.5000 0.5000
```

Results
Mass density = 8.2 Mg/m³
Calculated formation energy = 49.2 meV per atom
Symmetry = Immm
Magnetization = 5.470 μB per cell

---

(8)
A relaxed SiHg crystal. Source: the Alexandria database, functional GGA-PBE.

Geometry as POSCAR:
```
SiHg
1.0
-1.0694 -3.5630 1.2097
-1.3618 -2.6124 -2.5735
2.1613 -3.1188 -0.9508
Si Hg
1 1
direct
0.5000 0.5000 0.5000
0.0000 0.0000 0.0000
```

Results
Mass density = 9.0 Mg/m³
Symmetry = Fm-3m
E above lowest polymorph = 411 meV per atom
Magnetization = 0.000 μB per cell
Formation energy (no corrections) = 12.8 kcal/mol of atoms

---

(9)
A relaxed ErFe4Ir crystal. Source: the Alexandria database, functional GGA-PBE.

Geometry as POSCAR:
```
ErFe4Ir
1.0
-0.9245 -4.4102 -2.0433
1.3594 -0.8956 -4.6721
3.7226 -3.1210 -0.9383
Ir Fe Er
1 4 1
direct
0.0000 0.0000 0.0000
0.1232 0.6256 0.6256
0.6256 0.1232 0.6256
0.6256 0.6256 0.1232
0.6256 0.6256 0.6256
0.2500 0.2500 0.2500
```

Results
Mass density = 11.3 Mg/m³
Calculated formation energy = -123.0 meV per atom
Symmetry = F-43m
Magnetization = 10.438 μB per cell

---

(10)
A relaxed Tb5Pr2DySc crystal. Source: the Alexandria database, functional GGA-PBE.

Geometry as POSCAR:
```
Tb5Pr2DySc
1.0
5.5784 0.0000 0.0000
-2.7892 10.0800 0.0000
0.0000 0.0000 10.4188
Tb Dy Pr Sc
10 2 4 2
direct
0.2751 0.5501 0.3204
0.2970 0.5940 0.7019
0.5161 0.0322 0.2427
0.9848 0.9696 0.5156
0.4839 0.9678 0.7427
0.6265 0.2530 0.5192
0.0152 0.0304 0.0156
0.7249 0.4499 0.8204
0.3735 0.7470 0.0192
0.7030 0.4060 0.2019
0.4068 0.8135 0.4614
0.5933 0.1865 0.9614
0.8860 0.7720 0.8132
0.1154 0.2308 0.7355
0.8846 0.7692 0.2355
0.1140 0.2280 0.3132
0.8042 0.6084 0.5141
0.1958 0.3916 0.0141
```

Results
Mass density = 7.3 Mg/m³
Calculated formation energy = 151.1 meV per atom
Symmetry = Cmc2_1
Magnetization = 0.000 μB per cell

---

(11)
A relaxed CsLiMg2Zn crystal. Source: the Alexandria database, functional GGA-PBE.

Geometry as POSCAR:
```
CsLiMg2Zn
1.0
-4.8902 1.2206 1.5866
0.7570 -3.0827 4.7047
1.8736 4.2655 2.4934
Mg Zn Cs Li
2 1 1 1
direct
0.0000 0.0000 0.5000
0.5000 0.0000 0.0000
0.0000 0.0000 0.0000
0.5000 0.5000 0.5000
0.0000 0.5000 0.0000
```

Results
Mass density = 2.7 Mg/m³
Calculated formation energy = 155.7 meV per atom
Symmetry = P4/mmm
Magnetization = 0.000 μB per cell

---

(12)
A relaxed Li3NpI6 crystal. Source: the Alexandria database, functional GGA-PBE.

Geometry as POSCAR:
```
Li3NpI6
1.0
7.6979 0.1309 3.8432
2.6489 7.1776 4.0021
0.4619 0.1408 8.6228
Li I Np
3 6 1
direct
0.5000 0.0000 0.5000
0.5000 0.5000 0.0000
0.5000 0.5000 0.5000
0.2775 0.2283 0.7286
0.2601 0.7449 0.7448
0.7269 0.2758 0.7674
0.2731 0.7242 0.2326
0.7225 0.7717 0.2714
0.7399 0.2551 0.2552
0.0000 0.0000 0.0000
```

Results
Mass density = 3.7 Mg/m³
Symmetry = P-1
Magnetization = 4.000 μB per cell
Formation energy (no corrections) = -22.7 kcal/mol of atoms

---

(13)
A relaxed BaScMn crystal. Source: the Alexandria database, functional GGA-PBE.

Geometry as POSCAR:
```
BaScMn
1.0
-3.3791 -1.3800 -3.6073
1.6552 -1.7275 -4.5399
-0.5684 -4.9512 -1.2236
Mn Ba Sc
1 1 1
direct
0.0000 0.0000 0.0000
0.7500 0.7500 0.7500
0.5000 0.5000 0.5000
```

Results
Mass density = 4.1 Mg/m³
Calculated formation energy = 1300.1 meV per atom
Symmetry = F-43m
E above lowest polymorph = 866 meV per atom
Magnetization = 3.815 μB per cell

---

(14)
A relaxed AcNdP2O8 crystal. Source: the Alexandria database, functional GGA-PBE.

Geometry as POSCAR:
```
AcNdP2O8
1.0
-0.9017 -3.9856 3.4826
2.9333 -0.8976 -4.4064
6.3288 1.9096 3.8241
O P Nd Ac
8 2 1 1
direct
0.8254 0.6476 0.2799
0.1746 0.3524 0.7201
0.3524 0.1778 0.2799
0.1778 0.8254 0.7201
0.6476 0.8222 0.7201
0.6667 0.3333 0.0092
0.3333 0.6667 0.9908
0.8222 0.1746 0.2799
0.3333 0.6667 0.7898
0.6667 0.3333 0.2102
0.0000 0.0000 0.5000
0.0000 0.0000 0.0000
```

Results
Mass density = 4.9 Mg/m³
Symmetry = P-3
Magnetization = 0.000 μB per cell
Formation energy (no corrections) = -67.6 kcal/mol of atoms

---

(15)
A relaxed TiIn2Au2 crystal. Source: the Alexandria database, functional GGA-PBE.

Geometry as POSCAR:
```
TiIn2Au2
1.0
-3.2084 -6.5575 0.4637
2.0487 -1.4876 -6.8629
3.3389 -1.5396 1.3304
In Ti Au
4 2 4
direct
0.1737 0.6737 0.5000
0.6737 0.8263 0.5000
0.3263 0.1737 0.5000
0.8263 0.3263 0.5000
0.0000 0.0000 0.0000
0.5000 0.5000 0.0000
0.3647 0.8647 0.0000
0.1353 0.3647 0.0000
0.6353 0.1353 0.0000
0.8647 0.6353 0.0000
```

Results
Mass density = 10.7 Mg/m³
Calculated formation energy = -49.2 meV per atom
Symmetry = P4/mbm
E above lowest polymorph = 0 meV per atom
Magnetization = 0.295 μB per cell

---

(16)
A relaxed La4PmCd3 crystal. Source: the Alexandria database, functional GGA-PBE.

Geometry as POSCAR:
```
La4PmCd3
1.0
-5.1729 -1.5961 1.4301
-1.3604 -5.4315 -0.0212
0.4926 -3.0459 9.3436
Cd La Pm
3 4 1
direct
0.5000 0.5000 0.5000
0.7440 0.7440 0.7680
0.2560 0.2560 0.2320
0.6196 0.6196 0.1412
0.8714 0.8714 0.3857
0.3804 0.3804 0.8588
0.1286 0.1286 0.6143
0.0000 0.0000 0.0000
```

Results
Mass density = 6.8 Mg/m³
Calculated formation energy = -192.7 meV per atom
Symmetry = R-3m
Magnetization = 0.004 μB per cell

---

(17)
A relaxed Tm11Tl4Cd9 crystal. Source: the Alexandria database, functional GGA-PBE.

Geometry as POSCAR:
```
Tm11Tl4Cd9
1.0
3.6338 0.0000 0.0000
0.0000 12.5068 -4.8946
0.0000 0.4141 13.4240
Tm Cd Tl
11 9 4
direct
0.0000 0.2356 0.2356
0.0000 0.0618 0.4062
0.0000 0.5938 0.9382
0.0000 0.7644 0.7644
0.0000 0.4062 0.0618
0.0000 0.0000 0.0000
0.0000 0.9382 0.5938
0.0000 0.3539 0.6461
0.0000 0.1762 0.8238
0.0000 0.8238 0.1762
0.0000 0.6461 0.3539
0.5000 0.8556 0.3799
0.5000 0.0253 0.1991
0.5000 0.8009 0.9747
0.5000 0.3799 0.8556
0.5000 0.1991 0.0253
0.5000 0.9747 0.8009
0.5000 0.1444 0.6201
0.5000 0.6201 0.1444
0.5000 0.5000 0.5000
0.5000 0.2637 0.4390
0.5000 0.4390 0.2637
0.5000 0.5610 0.7363
0.5000 0.7363 0.5610
```

Results
Mass density = 9.9 Mg/m³
Calculated formation energy = -267.1 meV per atom
Symmetry = Cmmm
Magnetization = 0.000 μB per cell